# 1
This record from Alexandria describes a geometry-optimized Na3Er3TaO8 structure. The functional is PBE.

Unit cell a=6.6488 b=6.6488 c=16.8598 alpha=90.00 beta=90.00 gamma=120.00
Space group R-3m (No. 166, hexagonal axes)
One atom of each set of equivalent atoms:
Na  0.0000  0.5000  0.0000 x9
Er  0.0000  0.5000  0.5000 x9
Ta  0.0000  0.0000  0.5000 x3
O  0.0000  0.0000  0.2386 x6
O  0.0295  0.5147  0.2321 x18

Results
energy relative to the elements, uncorrected = -41.48 eV per formula unit


# 2
This record from Alexandria describes a geometry-optimized LiPrBi2S4 structure. The functional is PBE.

Unit cell a=6.7679 b=4.6294 c=6.8107 alpha=90.00 beta=112.09 gamma=90.00
Space group P2/m (No. 10)
One atom of each set of equivalent atoms:
Li  0.0000  0.0000  0.0000 x1
Pr  0.0000  0.5000  0.5000 x1
Bi  0.5000  0.0000  0.5000 x1
Bi  0.5000  0.5000  0.0000 x1
S  0.2442  0.0000  0.7527 x2
S  0.2532  0.5000  0.2528 x2

Results
energy relative to the elements, uncorrected = -6.26 eV per formula unit


# 3
This record from Alexandria describes a geometry-optimized LaEr3Sc4 structure. The functional is PBE.

Unit cell a=10.8474 b=6.9766 c=5.9871 alpha=90.00 beta=90.00 gamma=90.00
Space group Pmn2_1 (No. 31)
One atom of each set of equivalent atoms:
La  0.0000  0.1338  0.0000 x2
Er  0.0000  0.8644  0.5030 x2
Er  0.2491  0.1360  0.3494 x4
Sc  0.0000  0.3875  0.5112 x2
Sc  0.0000  0.6160  0.0119 x2
Sc  0.2462  0.6161  0.3406 x4

Results
ΔE_f = 38 meV/atom


# 4
This record from Alexandria describes a geometry-optimized ScHgP structure. The functional is PBE.

Unit cell a=6.3946 b=6.3946 c=6.3946 alpha=90.00 beta=90.00 gamma=90.00
Space group F-43m (No. 216)
One atom of each set of equivalent atoms:
Sc  0.0000  0.0000  0.0000 x4
Hg  0.0000  0.0000  0.5000 x4
P  0.2500  0.2500  0.7500 x4

Results
ΔE_f = -251 meV/atom
excess energy over the best structure of this formula in the dataset = 1.13 eV/f.u.


# 5
This record from Alexandria describes a geometry-optimized Ce4AsRu2 structure. The functional is PBE.

Unit cell a=12.7197 b=8.1701 c=8.9971 alpha=90.00 beta=134.94 gamma=90.00
Space group C2 (No. 5)
One atom of each set of equivalent atoms:
Ce  0.0627  0.0000  0.3766 x4
Ce  0.0666  0.6046  0.2529 x4
Ce  0.1864  0.2548  0.1180 x4
Ce  0.1859  0.3596  0.7464 x4
As  0.0000  0.6796  0.5000 x2
As  0.0000  0.9292  0.0000 x2
Ru  0.1338  0.3029  0.3860 x4
Ru  0.2480  0.5499  0.1139 x4

Results
ΔE_f = -563 meV/atom


# 6
This record from Alexandria describes a geometry-optimized Se2OF structure. The functional is PBE.

Unit cell a=3.0054 b=3.0054 c=22.8057 alpha=90.00 beta=90.00 gamma=120.00
Space group R-3m (No. 166, hexagonal axes)
One atom of each set of equivalent atoms:
Se  0.0000  0.0000  0.0792 x6
O  0.0000  0.0000  0.0000 x3
F  0.0000  0.0000  0.5000 x3

Results
excess energy over the best structure of this formula in the dataset = 0.02 eV/f.u.
energy relative to the elements, uncorrected = -1.06 eV per formula unit


# 7
This record from Alexandria describes a geometry-optimized CsTbI2O8 structure. The functional is PBE.

Unit cell a=6.0073 b=6.0073 c=24.8635 alpha=90.00 beta=90.00 gamma=120.00
Space group R-3 (No. 148, hexagonal axes)
One atom of each set of equivalent atoms:
Cs  0.0000  0.0000  0.0000 x3
Tb  0.0000  0.0000  0.5000 x3
I  0.0000  0.0000  0.2307 x6
O  0.0000  0.0000  0.3027 x6
O  0.0014  0.6236  0.1141 x18

Results
energy relative to the elements, uncorrected = -12.86 eV per formula unit


# 8
This record from Alexandria describes a geometry-optimized MgC3 structure. The functional is PBE.

Unit cell a=4.1650 b=4.1650 c=4.1650 alpha=90.00 beta=90.00 gamma=90.00
Space group Pm-3n (No. 223)
One atom of each set of equivalent atoms:
Mg  0.0000  0.0000  0.0000 x2
C  0.0000  0.2500  0.5000 x6

Results
ΔE_f = 2866 meV/atom
excess energy over the best structure of this formula in the dataset = 8.81 eV/f.u.


# 9
This record from Alexandria describes a geometry-optimized Mg3Sb structure. The functional is PBE.

Unit cell a=3.2670 b=3.2670 c=10.5058 alpha=90.00 beta=90.00 gamma=120.00
Space group P-6m2 (No. 187)
One atom of each set of equivalent atoms:
Mg  0.0000  0.0000  0.0000 x1
Mg  0.6667  0.3333  0.2497 x2
Sb  0.0000  0.0000  0.5000 x1

Results
excess energy over the best structure of this formula in the dataset = 0.66 eV/f.u.
energy relative to the elements, uncorrected = -0.03 eV per formula unit


# 10
This record from Alexandria describes a geometry-optimized KPt3 structure. The functional is PBE.

Unit cell a=5.3587 b=5.3587 c=5.3587 alpha=90.00 beta=90.00 gamma=90.00
Space group Pm-3n (No. 223)
One atom of each set of equivalent atoms:
K  0.0000  0.0000  0.0000 x2
Pt  0.0000  0.2500  0.5000 x6

Results
ΔE_f = 777 meV/atom
excess energy over the best structure of this formula in the dataset = 3.71 eV/f.u.


Q: What is the formula in the sixth record?
A: Se2OF